SrTa3 | PBE | optimized geometry

- Calculated formation energy: 894 meV per atom
- Energy: -33.66 eV for the cell shown
- Total magnetization: 0.0 μB/f.u.

abc: 6.2275 6.2275 6.2275
angles: 152.14 126.94 60.98
Closest atoms and distances in Å follow each position.
Fractional coordinates of all 4 atoms:
Sr 0.0000 0.0000 0.0000  2 Sr 3.00, 8 Ta 3.16-3.35
Ta 0.7208 0.2208 0.5000  4 Ta 2.80-3.00
Ta 0.2792 0.7792 0.5000  4 Ta 2.80-3.00
Ta 0.5000 0.5000 0.0000  6 Ta 2.80-3.00

---

Dy2Er3Tl2 | PBE | optimized geometry

- Calculated formation energy: -196 meV per atom
- Energy: -29.00 eV for the cell shown
- Total magnetization: 0.0 μB/f.u.

abc: 5.3723 5.3678 8.5863
angles: 108.25 90.00 120.03
Closest atoms and distances in Å follow each position.
Fractional coordinates of all 7 atoms:
Er 0.3463 0.6926 0.5390  1 Tl 3.12, 3 Er 3.16, 3 Dy 3.43
Er 0.5000 0.0000 0.0000  6 Tl 3.32, 2 Er 3.69
Er 0.6537 0.3074 0.4610  1 Tl 3.12, 3 Er 3.16, 3 Dy 3.43
Dy 0.9254 0.8508 0.2769  4 Tl 3.26-3.41, 3 Er 3.43, 1 Dy 3.57
Dy 0.0746 0.1492 0.7231  4 Tl 3.26-3.41, 3 Er 3.43, 1 Dy 3.57
Tl 0.2163 0.4327 0.1493  4 Er 3.12-3.32, 4 Dy 3.26-3.41
Tl 0.7837 0.5673 0.8507  4 Er 3.12-3.32, 4 Dy 3.26-3.41

---

LaHo2Ga2Ag2 | PBE | optimized geometry

- Calculated formation energy: -399 meV per atom
- Energy: -28.63 eV for the cell shown
- Total magnetization: 0.0 μB/f.u.

abc: 4.6750 4.6750 9.4109
angles: 75.62 75.62 60.00
Closest atoms and distances in Å follow each position.
Fractional coordinates of all 7 atoms:
Ga 0.7475 0.7475 0.7575  3 Ag 2.70, 3 Ho 2.98
Ga 0.2525 0.2525 0.2425  3 Ag 2.70, 3 Ho 2.98
Ag 0.5912 0.5912 0.2264  3 Ga 2.70
Ag 0.4088 0.4088 0.7736  3 Ga 2.70
Ho 0.1277 0.1277 0.6168  3 Ga 2.98, 3 Ag 3.05
Ho 0.8723 0.8723 0.3832  3 Ga 2.98, 3 Ag 3.05
La 0.0000 0.0000 0.0000  6 Ag 3.38, 2 Ho 3.45, 6 Ga 3.47

---

Li2CaH | PBE | optimized geometry

- Energy: -8.87 eV for the cell shown
- Distance to the lowest polymorph of the same formula: 98 meV/atom
- Total magnetization: 0.0 μB/f.u.

abc: 3.3123 3.3123 8.9254
angles: 79.31 79.31 60.00
Closest atoms and distances in Å follow each position.
Fractional coordinates of all 4 atoms:
H 0.5000 0.5000 0.5000  6 Li 2.22
Ca 0.0000 0.0000 0.0000  2 Li 3.23, 6 Ca 3.31
Li 0.1234 0.1234 0.6299  3 H 2.22
Li 0.8766 0.8766 0.3701  3 H 2.22